1.
A relaxed structure of TcSb. Source: the Alexandria database, functional GGA-PBEsol.

Cell: 3.121 3.121 4.159 Å, 90.00 90.00 116.84°
Sites, in units of the cell vectors:
Sb (0.000, 0.000, 0.000)
Tc (0.500, 0.500, 0.500)

## Properties
For the uncorrected formation energy, the calculation gives 1.13 eV per formula unit. As for the relative energy among the computed polymorphs: 0.5139 eV per atom. For the total magnetic moment, the calculation gives 0.0 μB per cell.


2.
A relaxed structure of KRhN2. Source: the Alexandria database, functional GGA-PBEsol.

Cell: 3.322 3.322 7.512 Å, 77.22 77.22 60.00°
Sites, in units of the cell vectors:
K (0.500, 0.500, 0.500)
Rh (0.000, 0.000, 0.000)
N (0.920, 0.920, 0.240)
N (0.080, 0.080, 0.760)

## Properties
For the uncorrected formation energy, the calculation gives 4.28 eV per formula unit. For the total magnetic moment, the calculation gives 0.5 μB per cell.


3.
A relaxed structure of Sr3YB3O9. Source: the Alexandria database, functional GGA-PBEsol.

Cell: 7.762 7.762 7.762 Å, 104.91 104.91 104.91°
Sites, in units of the cell vectors:
Y (0.500, 0.500, 0.500)
Y (0.000, 0.000, 0.000)
Sr (0.736, 0.849, 0.356)
Sr (0.356, 0.736, 0.849)
Sr (0.849, 0.356, 0.736)
Sr (0.264, 0.151, 0.644)
Sr (0.644, 0.264, 0.151)
Sr (0.151, 0.644, 0.264)
B (0.617, 0.963, 0.706)
B (0.706, 0.617, 0.963)
B (0.963, 0.706, 0.617)
B (0.294, 0.383, 0.037)
B (0.037, 0.294, 0.383)
B (0.383, 0.037, 0.294)
O (0.815, 0.538, 0.065)
O (0.065, 0.815, 0.538)
O (0.499, 0.206, 0.442)
O (0.206, 0.442, 0.499)
O (0.442, 0.499, 0.206)
O (0.558, 0.501, 0.794)
O (0.501, 0.794, 0.558)
O (0.794, 0.558, 0.501)
O (0.189, 0.976, 0.263)
O (0.976, 0.263, 0.189)
O (0.263, 0.189, 0.976)
O (0.811, 0.024, 0.737)
O (0.024, 0.737, 0.811)
O (0.737, 0.811, 0.024)
O (0.462, 0.935, 0.185)
O (0.935, 0.185, 0.462)
O (0.185, 0.462, 0.935)
O (0.538, 0.065, 0.815)

## Properties
For the uncorrected formation energy, the calculation gives -47.48 eV per formula unit. For the total magnetic moment, the calculation gives 0.0 μB per cell.


4.
A relaxed structure of ScAgB2Pd. Source: the Alexandria database, functional GGA-PBEsol.

Cell: 4.223 4.223 4.889 Å, 90.00 90.00 90.00°
Sites, in units of the cell vectors:
Sc (0.000, 0.000, 0.000)
B (0.000, 0.500, 0.000)
B (0.500, 0.000, 0.000)
Pd (0.500, 0.500, 0.500)
Ag (0.000, 0.000, 0.500)

## Properties
For the total magnetic moment, the calculation gives 0.0 μB per cell. The formation energy comes out at 1799.8 meV/atom.


5.
A relaxed structure of Mg3TcP. Source: the Alexandria database, functional GGA-PBEsol.

Cell: 4.760 4.760 4.760 Å, 90.00 90.00 90.00°
Sites, in units of the cell vectors:
P (0.000, 0.000, 0.000)
Mg (0.000, 0.500, 0.000)
Mg (0.000, 0.000, 0.500)
Mg (0.500, 0.000, 0.000)
Tc (0.500, 0.500, 0.500)

## Properties
For the total magnetic moment, the calculation gives 2.7 μB per cell. The formation energy comes out at 716.9 meV/atom.


6.
A relaxed structure of MnTcCl2. Source: the Alexandria database, functional GGA-PBEsol.

Cell: 2.887 3.073 8.000 Å, 90.00 90.00 118.02°
Sites, in units of the cell vectors:
Mn (0.500, 0.000, 0.500)
Tc (0.500, 0.000, 0.000)
Cl (0.000, 0.000, 0.760)
Cl (0.000, 0.000, 0.240)

## Properties
For the uncorrected formation energy, the calculation gives 1.60 eV per formula unit. As for the relative energy among the computed polymorphs: 0.0000 eV per atom. For the total magnetic moment, the calculation gives 4.2 μB per cell.


7.
A relaxed structure of CsMnTe2. Source: the Alexandria database, functional GGA-PBEsol.

Cell: 3.886 6.873 10.585 Å, 107.78 100.58 90.00°
Sites, in units of the cell vectors:
Cs (0.084, 0.834, 0.667)
Cs (0.916, 0.166, 0.333)
Te (0.585, 0.354, 0.670)
Te (0.262, 0.771, 0.025)
Te (0.415, 0.646, 0.330)
Te (0.738, 0.229, 0.975)
Mn (0.824, 0.619, 0.148)
Mn (0.176, 0.381, 0.852)

## Properties
For the uncorrected formation energy, the calculation gives -1.93 eV per formula unit. For the total magnetic moment, the calculation gives 8.1 μB per cell.


8.
A relaxed structure of LaZn3Fe. Source: the Alexandria database, functional GGA-PBEsol.

Cell: 5.397 5.397 5.397 Å, 90.00 90.00 90.00°
Sites, in units of the cell vectors:
Zn (0.000, 0.500, 0.000)
Zn (0.000, 0.000, 0.500)
Zn (0.500, 0.000, 0.000)
Fe (0.500, 0.500, 0.500)
La (0.000, 0.000, 0.000)

## Properties
For the total magnetic moment, the calculation gives 2.6 μB per cell. The formation energy comes out at 1699.3 meV/atom.


Computed values of electronic total energy (unit: Ha/atom) for the preceding records, in sequence: -0.2700 -0.2025 -0.2943 -0.1537 -0.1369 -0.2153 -0.1809 -0.0776.
Computed values of mass density (unit: Mg/m³) for the preceding records, in sequence: 10.09 4.07 4.28 5.35 3.11 5.93 5.57 4.13.